5
Lattice="-2.383 -3.026 -0.414 2.406 -2.184 2.110 -1.881 1.041 3.222" Properties=species:S:1:pos:R:3 comment="MnPbO3 PBE+U optimized geometry" crystal_system=cubic dft_energy_ev_per_atom=-6.385 pbc="T T T"
Pb -0.929 -2.084 2.459
Mn 0.000 0.000 0.000
O 1.203 -1.092 1.055
O -0.941 0.520 1.611
O -1.192 -1.513 -0.207